The following is a DFT calculation (PBE-GGA) of GaCu3 after structural relaxation.

Output
- magnetic moment (μB per cell) = 0.000
- electronic total energy (eV per formula unit) = -15.70
- volume (Å³/cell) = 51
- energy of formation (kcal/mol of atoms) = -2.20

Lattice parameters (Å, degrees): 3.6977 3.6977 3.6977 90.00 90.00 90.00
With the nearest neighbours (Å) after each atom.
Atoms (fractional coordinates):
1 Cu 0.0000 0.5000 0.5000  8 Cu 2.61, 4 Ga 2.61
2 Cu 0.5000 0.5000 0.0000  8 Cu 2.61, 4 Ga 2.61
3 Cu 0.5000 0.0000 0.5000  8 Cu 2.61, 4 Ga 2.61
4 Ga 0.0000 0.0000 0.0000  12 Cu 2.61